Arrangement w

VASP calculation (PBE) on a relaxed SrCaNbPb2 crystal.

Its space group is P4/mmm (123).

Unit cell a=5.6170 b=5.6170 c=5.4305 alpha=90.00 beta=90.00 gamma=90.00
Atoms (fractional coordinates):
Sr1 0.0000 0.0000 0.0000
Ca1 0.5000 0.5000 0.0000
Nb1 0.5000 0.5000 0.5000
Pb1 0.0000 0.5000 0.5000
Pb2 0.5000 0.0000 0.5000

Arrangement x

VASP calculation (PBE) on a relaxed SrCaNbPb2 crystal.

Its space group is P4/mmm (123).

Unit cell a=5.6443 b=5.6443 c=5.7574 alpha=90.00 beta=90.00 gamma=90.00
Atoms (fractional coordinates):
Sr1 0.0000 0.0000 0.0000
Ca1 0.0000 0.0000 0.5000
Nb1 0.5000 0.5000 0.0000
Pb1 0.0000 0.5000 0.5000
Pb2 0.5000 0.0000 0.5000

Ordering by calculated energy gives the sequence arrangement w, arrangement x, with the first entry being the most stable.